Record 1
LiErAg2Cl6 | Alexandria via LeMat-Bulk | PBE | relaxed; electronic total energy = -3.761 eV/atom; space group = R3 (146); formation energy from raw total energies = -1.4351 eV per atom
1.0
-6.363 -2.329 0.046
-1.201 -6.605 -0.915
-2.150 -3.879 5.714
Cl Ag Li Er
6 2 1 1
Direct
0.705 0.087 0.766
0.942 0.585 0.269
0.586 0.204 0.268
0.442 0.705 0.767
0.205 0.942 0.269
0.086 0.442 0.767
0.527 0.526 0.421
0.027 0.028 0.918
0.820 0.820 0.540
0.323 0.323 0.031


Record 2
ErMnAgCl6 | Alexandria via LeMat-Bulk | PBE | relaxed; electronic total energy = -4.299 eV/atom; space group = P-31c (163); formation energy from raw total energies = -1.2252 eV per atom
1.0
-5.816 -2.531 1.011
3.187 -1.337 -5.413
5.159 -9.686 5.430
Cl Ag Mn Er
12 2 2 2
Direct
0.661 0.634 0.635
0.974 0.339 0.635
0.339 0.366 0.365
0.026 0.366 0.135
0.974 0.634 0.865
0.026 0.661 0.365
0.339 0.974 0.135
0.366 0.339 0.865
0.366 0.026 0.635
0.661 0.026 0.865
0.634 0.661 0.135
0.634 0.974 0.365
0.000 0.000 0.500
0.000 0.000 0.000
0.333 0.667 0.250
0.667 0.333 0.750
0.333 0.667 0.750
0.667 0.333 0.250


Record 3
NaErAgCl5 | Alexandria via LeMat-Bulk | PBE | relaxed; electronic total energy = -3.934 eV/atom; space group = C2/c (15); formation energy from raw total energies = -1.6882 eV per atom
1.0
-1.924 1.678 7.181
-1.187 -7.101 -2.501
9.726 -0.100 0.832
Cl Ag Er Na
10 2 2 2
Direct
0.334 0.004 0.628
0.245 0.405 0.548
0.755 0.595 0.452
0.595 0.755 0.952
0.004 0.334 0.128
0.996 0.666 0.872
0.666 0.996 0.372
0.405 0.245 0.048
0.922 0.078 0.750
0.078 0.922 0.250
0.714 0.286 0.250
0.286 0.714 0.750
0.000 0.000 0.000
0.000 0.000 0.500
0.426 0.574 0.250
0.574 0.426 0.750


Record 4
Na2ErAgCl6 | Alexandria via LeMat-Bulk | PBE | relaxed; electronic total energy = -3.839 eV/atom; space group = P1 (1); formation energy from raw total energies = -1.7256 eV per atom
1.0
-2.358 -6.500 0.984
4.087 -4.793 3.046
-1.627 -2.109 6.931
Cl Ag Na Er
6 1 2 1
Direct
0.111 0.424 0.761
0.585 0.213 0.251
0.703 0.112 0.762
0.952 0.584 0.249
0.214 0.952 0.250
0.423 0.703 0.762
0.810 0.812 0.568
0.525 0.524 0.427
0.015 0.015 0.956
0.323 0.324 0.030


Record 5
NaErAg2Cl6 | Alexandria via LeMat-Bulk | PBE | relaxed; electronic total energy = -3.715 eV/atom; space group = P1 (1); formation energy from raw total energies = -1.4481 eV per atom
1.0
-4.827 4.193 -2.628
-3.771 -2.033 -5.422
-7.133 -1.746 1.207
Cl Ag Na Er
6 2 1 1
Direct
0.110 0.414 0.768
0.580 0.227 0.253
0.228 0.938 0.254
0.413 0.710 0.768
0.939 0.580 0.254
0.710 0.110 0.767
0.017 0.018 0.947
0.522 0.522 0.434
0.819 0.819 0.543
0.324 0.324 0.028


Record 6
ErAgPbCl6 | Alexandria via LeMat-Bulk | PBE | relaxed; electronic total energy = -3.957 eV/atom; space group = P-31c (163); formation energy from raw total energies = -1.4904 eV per atom
1.0
6.898 0.000 0.000
-3.449 5.974 0.000
0.000 0.000 12.717
Cl Pb Er Ag
12 2 2 2
Direct
0.983 0.341 0.131
0.358 0.017 0.131
0.341 0.983 0.631
0.659 0.017 0.369
0.017 0.659 0.869
0.017 0.358 0.631
0.983 0.642 0.369
0.659 0.642 0.131
0.341 0.358 0.869
0.358 0.341 0.369
0.642 0.983 0.869
0.642 0.659 0.631
0.000 0.000 0.500
0.000 0.000 0.000
0.333 0.667 0.750
0.667 0.333 0.250
0.333 0.667 0.250
0.667 0.333 0.750


Record 7
Rb2ErAgCl6 | Alexandria via LeMat-Bulk | PBE | relaxed; ΔE to the lowest computed polymorph = 0 meV per atom; electronic total energy = -3.870 eV/atom; space group = P2_1/c (14); formation energy from raw total energies = -1.8273 eV per atom
1.0
-3.619 -6.229 2.092
1.968 -3.358 -6.593
8.775 -3.640 4.473
Cl Rb Ag Er
12 4 2 2
Direct
0.699 0.278 0.534
0.779 0.799 0.535
0.721 0.299 0.965
0.199 0.222 0.034
0.932 0.512 0.246
0.801 0.778 0.966
0.221 0.201 0.465
0.068 0.488 0.754
0.279 0.701 0.035
0.301 0.722 0.466
0.568 0.012 0.254
0.432 0.988 0.746
0.012 0.950 0.251
0.988 0.050 0.749
0.512 0.550 0.751
0.488 0.450 0.249
0.500 0.000 0.000
0.000 0.500 0.500
0.000 0.500 0.000
0.500 0.000 0.500


Record 8
RbErAgCl6 | Alexandria via LeMat-Bulk | PBE | relaxed; electronic total energy = -3.737 eV/atom; space group = P1 (1); formation energy from raw total energies = -1.5747 eV per atom
1.0
6.756 -0.254 -0.126
3.164 5.982 0.115
-0.128 0.218 7.342
Rb Cl Ag Er
1 6 1 1
Direct
0.014 0.014 0.001
0.994 0.371 0.321
0.614 0.377 0.707
0.639 0.977 0.262
0.377 0.613 0.293
0.371 0.994 0.679
0.978 0.641 0.737
0.334 0.334 0.500
0.678 0.678 0.500


Question: Which formula does entry 4 have?
Answer: Na2ErAgCl6